First-principles (PBE-GGA) data for PmSm4Y5 after structural relaxation, as listed in the Alexandria database.

Relative energy among the computed polymorphs = 0 meV per atom
Mass density = 5736 kg/m³
D(E_F) = 14.62 states/eV per cell

Cell lengths 3.565, 11.108, 8.887 Å; angles 90.03, 101.57, 90.03 degrees
Positions (direct):
Y 0.500 0.500 0.000
Y 0.174 0.555 0.348
Y 0.826 0.445 0.652
Y 0.826 0.057 0.650
Y 0.174 0.943 0.350
Sm 0.652 0.250 0.305
Sm 0.348 0.750 0.695
Sm 0.971 0.251 0.944
Sm 0.029 0.749 0.056
Pm 0.500 0.000 0.000

First-principles (PBE-GGA) data for PmSm3Y6 after structural relaxation, as listed in the Alexandria database.

Relative energy among the computed polymorphs = 0 meV per atom
Mass density = 5618 kg/m³
D(E_F) = 30.07 states/eV per cell

Cell lengths 6.378, 10.978, 10.978 Å; angles 119.69, 90.00, 90.00 degrees
Positions (direct):
Y 0.877 0.043 0.957
Y 0.156 0.727 0.273
Y 0.869 0.949 0.532
Y 0.544 0.621 0.710
Y 0.544 0.290 0.379
Y 0.656 0.273 0.727
Y 0.377 0.957 0.043
Y 0.369 0.051 0.468
Y 0.369 0.532 0.949
Y 0.044 0.710 0.621
Y 0.869 0.468 0.051
Y 0.044 0.379 0.290
Sm 0.957 0.063 0.288
Sm 0.457 0.288 0.063
Sm 0.457 0.937 0.712
Sm 0.957 0.712 0.937
Sm 0.569 0.612 0.388
Sm 0.069 0.388 0.612
Pm 0.643 0.802 0.198
Pm 0.143 0.198 0.802

First-principles (PBE-GGA) data for PmSm3Y12 after structural relaxation, as listed in the Alexandria database.

Mass density = 5289 kg/m³
D(E_F) = 23.20 states/eV per cell

Cell lengths 5.072, 5.072, 20.295 Å; angles 90.00, 90.00, 90.00 degrees
Positions (direct):
Y 0.500 0.000 0.125
Y 0.500 0.500 0.000
Y 0.000 0.500 0.625
Y 0.500 0.000 0.875
Y 0.000 0.500 0.375
Y 0.000 0.500 0.875
Y 0.500 0.000 0.625
Y 0.000 0.500 0.125
Y 0.500 0.500 0.750
Y 0.500 0.000 0.375
Y 0.500 0.500 0.500
Y 0.500 0.500 0.250
Sm 0.000 0.000 0.500
Sm 0.000 0.000 0.750
Sm 0.000 0.000 0.250
Pm 0.000 0.000 0.000

First-principles (PBE-GGA) data for Pm3Sm2Y4 after structural relaxation, as listed in the Alexandria database.

Relative energy among the computed polymorphs = 0 meV per atom
Mass density = 6047 kg/m³
D(E_F) = 12.86 states/eV per cell

Cell lengths 5.108, 8.071, 14.894 Å; angles 144.43, 90.00, 108.45 degrees
Positions (direct):
Sm 0.777 0.554 0.333
Sm 0.223 0.446 0.667
Y 0.111 0.221 0.333
Y 0.889 0.779 0.667
Y 0.333 0.666 0.000
Y 0.667 0.334 0.000
Pm 0.445 0.891 0.334
Pm 0.555 0.109 0.666
Pm 0.000 0.000 0.000

First-principles (PBE-GGA) data for Pm7Sm12Y after structural relaxation, as listed in the Alexandria database.

Relative energy among the computed polymorphs = 0 meV per atom
Mass density = 6929 kg/m³
D(E_F) = 38.97 states/eV per cell

Cell lengths 8.879, 8.879, 8.879 Å; angles 86.79, 86.79, 86.79 degrees
Positions (direct):
Pm 0.924 0.849 0.604
Pm 0.604 0.924 0.849
Pm 0.076 0.151 0.396
Pm 0.500 0.500 0.500
Pm 0.396 0.076 0.151
Pm 0.849 0.604 0.924
Pm 0.151 0.396 0.076
Sm 0.507 0.383 0.866
Sm 0.383 0.866 0.507
Sm 0.852 0.254 0.725
Sm 0.725 0.852 0.254
Sm 0.134 0.493 0.617
Sm 0.275 0.148 0.746
Sm 0.493 0.617 0.134
Sm 0.866 0.507 0.383
Sm 0.254 0.725 0.852
Sm 0.148 0.746 0.275
Sm 0.746 0.275 0.148
Sm 0.617 0.134 0.493
Y 0.000 0.000 0.000

First-principles (PBE-GGA) data for PmSm5Y6 after structural relaxation, as listed in the Alexandria database.

Relative energy among the computed polymorphs = 0 meV per atom
Mass density = 6014 kg/m³
D(E_F) = 15.27 states/eV per cell

Cell lengths 11.866, 6.249, 6.246 Å; angles 59.99, 84.99, 79.94 degrees
Positions (direct):
Y 0.750 0.083 0.333
Y 0.750 0.416 0.667
Y 0.250 0.250 0.000
Y 0.250 0.917 0.667
Y 0.750 0.750 0.000
Y 0.250 0.584 0.333
Sm 0.500 0.833 0.333
Sm 0.500 0.167 0.667
Sm 0.000 0.333 0.333
Sm 0.500 0.500 0.000
Sm 0.000 0.667 0.667
Pm 0.000 0.000 0.000

E_form, record by record: 181 137 33 14 437 14 kJ/mol of formula units
Final energy, record by record: -54.069 -112.538 -96.135 -49.396 -91.822 -66.981 eV per cell